--- i ---
This record from Alexandria via LeMat-Bulk describes KMn2Rh after structural relaxation. The functional is GGA-PBE.

For the spin magnetization, the calculation gives 17.1 Bohr magnetons per cell.

The space group is Cm (No. 8) and the conventional cell measures 8.858, 2.944 and 7.195 Å, with angles of 90.00, 95.44 and 90.00 degrees. Symmetry generates all atoms from K at (0.000, 0.000, 0.000), Mn at (0.227, 0.000, 0.632), Mn at (0.489, 0.000, 0.453) and Rh at (0.258, 0.500, 0.350).

=====

--- ii ---
This record from Alexandria via LeMat-Bulk describes KMn2Rh after structural relaxation. The functional is GGA-PBE.

For the spin magnetization, the calculation gives 8.7 Bohr magnetons per cell.

The space group is P4/mmm (No. 123) and the conventional cell measures 4.837, 4.837 and 3.152 Å, with angles of 90.00, 90.00 and 90.00 degrees. Symmetry generates all atoms from K at (0.000, 0.000, 0.000), Mn at (0.000, 0.500, 0.500) and Rh at (0.500, 0.500, 0.000).

=====

--- iii ---
This record from Alexandria via LeMat-Bulk describes KMn2Rh after structural relaxation. The functional is GGA-PBE.

For the spin magnetization, the calculation gives 18.1 Bohr magnetons per cell.

The space group is Immm (No. 71) and the conventional cell measures 2.993, 5.532 and 10.429 Å, with angles of 90.00, 90.00 and 90.00 degrees. Symmetry generates all atoms from K at (0.000, 0.000, 0.000), Mn at (0.000, 0.500, 0.199) and Rh at (0.000, 0.000, 0.500).

=====

Energy above the most stable structure, in kJ/mol of atoms: i 0.0; ii 31.9; iii 15.7

=====

--- i ---
This record from Alexandria via LeMat-Bulk describes KMn2Rh after structural relaxation. The functional is GGA-PBE.

For the spin magnetization, the calculation gives 9.1 Bohr magnetons per cell.

The space group is P4/mmm (No. 123) and the conventional cell measures 3.159, 3.159 and 8.704 Å, with angles of 90.00, 90.00 and 90.00 degrees. Symmetry generates all atoms from K at (0.000, 0.000, 0.000), Mn at (0.500, 0.500, 0.335) and Rh at (0.000, 0.000, 0.500).

=====

--- ii ---
This record from Alexandria via LeMat-Bulk describes KMn2Rh after structural relaxation. The functional is GGA-PBE.

For the spin magnetization, the calculation gives 16.9 Bohr magnetons per cell.

The space group is C2/m (No. 12) and the conventional cell measures 5.925, 9.300 and 2.829 Å, with angles of 90.00, 111.24 and 90.00 degrees. Symmetry generates all atoms from K at (0.000, 0.000, 0.000), Mn at (0.250, 0.250, 0.500) and Rh at (0.000, 0.500, 0.000).

=====

Energy above the most stable structure, in kJ/mol of atoms: i 0.0; ii 45.6

=====

--- i ---
This record from Alexandria via LeMat-Bulk describes KMn2Rh after structural relaxation. The functional is GGA-PBE.

For the spin magnetization, the calculation gives 8.4 Bohr magnetons per cell.

The space group is Pmmm (No. 47) and the conventional cell measures 3.099, 4.792 and 4.988 Å, with angles of 90.00, 90.00 and 90.00 degrees. Symmetry generates all atoms from K at (0.000, 0.000, 0.000), Mn at (0.000, 0.500, 0.500), Mn at (0.500, 0.500, 0.000) and Rh at (0.500, 0.000, 0.500).

=====

--- ii ---
This record from Alexandria via LeMat-Bulk describes KMn2Rh after structural relaxation. The functional is GGA-PBE.

For the spin magnetization, the calculation gives 16.8 Bohr magnetons per cell.

The space group is Imm2 (No. 44) and the conventional cell measures 2.953, 5.137 and 10.396 Å, with angles of 90.00, 90.00 and 90.00 degrees. Symmetry generates all atoms from K at (0.000, 0.000, 0.000), Mn at (0.000, 0.000, 0.545), Mn at (0.000, 0.500, 0.795) and Rh at (0.000, 0.500, 0.234).

=====

--- iii ---
This record from Alexandria via LeMat-Bulk describes KMn2Rh after structural relaxation. The functional is GGA-PBE.

For the spin magnetization, the calculation gives 20.8 Bohr magnetons per cell.

The space group is R3m (No. 160, hexagonal axes) and the conventional cell measures 2.9069, 2.9069 and 29.6604 Å, with angles of 90.00, 90.00 and 120.00 degrees. Symmetry generates all atoms from K at (0.0000, 0.0000, 0.0000), Mn at (0.0000, 0.0000, 0.5091), Mn at (0.0000, 0.0000, 0.7724) and Rh at (0.0000, 0.0000, 0.2407).

=====

--- iv ---
This record from Alexandria via LeMat-Bulk describes KMn2Rh after structural relaxation. The functional is GGA-PBE.

For the spin magnetization, the calculation gives 16.7 Bohr magnetons per cell.

The space group is Cmmm (No. 65) and the conventional cell measures 6.009, 7.949 and 3.007 Å, with angles of 90.00, 90.00 and 90.00 degrees. Symmetry generates all atoms from K at (0.000, 0.000, 0.000), Mn at (0.250, 0.250, 0.500) and Rh at (0.000, 0.500, 0.000).

=====

Energy above the most stable structure, in kJ/mol of atoms: i 31.4; ii 10.8; iii 0.0; iv 22.3

=====

--- i ---
This record from Alexandria via LeMat-Bulk describes KMn2Rh after structural relaxation. The functional is GGA-PBE.

For the spin magnetization, the calculation gives 0.0 Bohr magnetons per cell.

The space group is P2/m (No. 10) and the conventional cell measures 2.659, 4.169 and 6.932 Å, with angles of 90.00, 91.23 and 90.00 degrees. Symmetry generates all atoms from K at (0.000, 0.000, 0.000), Mn at (0.008, 0.500, 0.635) and Rh at (0.500, 0.000, 0.500).

=====

--- ii ---
This record from Alexandria via LeMat-Bulk describes KMn2Rh after structural relaxation. The functional is GGA-PBE.

For the spin magnetization, the calculation gives 25.5 Bohr magnetons per cell.

The space group is R-3m (No. 166, hexagonal axes) and the conventional cell measures 3.0144, 3.0144 and 30.2971 Å, with angles of 90.00, 90.00 and 120.00 degrees. Symmetry generates all atoms from K at (0.0000, 0.0000, 0.0000), Mn at (0.0000, 0.0000, 0.2317) and Rh at (0.0000, 0.0000, 0.5000).

=====

Energy above the most stable structure, in kJ/mol of atoms: i 5.9; ii 0.0

=====

--- i ---
This record from Alexandria via LeMat-Bulk describes KMnRh3 after structural relaxation. The functional is GGA-PBE.

For the spin magnetization, the calculation gives 0.0 Bohr magnetons per cell.

The space group is Pm-3m (No. 221) and the conventional cell measures 4.576, 4.576 and 4.576 Å, with angles of 90.00, 90.00 and 90.00 degrees. Symmetry generates all atoms from K at (0.000, 0.000, 0.000), Mn at (0.500, 0.500, 0.500) and Rh at (0.000, 0.500, 0.500).

=====

--- ii ---
This record from Alexandria via LeMat-Bulk describes KMnRh3 after structural relaxation. The functional is GGA-PBE.

For the spin magnetization, the calculation gives 3.4 Bohr magnetons per cell.

The space group is Pm-3m (No. 221) and the conventional cell measures 4.683, 4.683 and 4.683 Å, with angles of 90.00, 90.00 and 90.00 degrees. Symmetry generates all atoms from K at (0.000, 0.000, 0.000), Mn at (0.500, 0.500, 0.500) and Rh at (0.000, 0.000, 0.500).

=====

Energy above the most stable structure, in kJ/mol of atoms: i 0.0; ii 132.9

=====

--- i ---
This record from Alexandria via LeMat-Bulk describes K2MnRu after structural relaxation. The functional is GGA-PBE.

For the spin magnetization, the calculation gives 15.6 Bohr magnetons per cell.

The space group is I-42d (No. 122) and the conventional cell measures 12.381, 12.381 and 4.551 Å, with angles of 90.00, 90.00 and 90.00 degrees. Symmetry generates all atoms from K at (0.059, 0.750, 0.125), Mn at (0.000, 0.000, 0.500) and Ru at (0.000, 0.000, 0.000).

=====

--- ii ---
This record from Alexandria via LeMat-Bulk describes K2MnRu after structural relaxation. The functional is GGA-PBE.

For the spin magnetization, the calculation gives 9.2 Bohr magnetons per cell.

The space group is I-4m2 (No. 119) and the conventional cell measures 5.146, 5.146 and 7.264 Å, with angles of 90.00, 90.00 and 90.00 degrees. Symmetry generates all atoms from K at (0.000, 0.000, 0.000), K at (0.000, 0.500, 0.250), Mn at (0.000, 0.000, 0.500) and Ru at (0.000, 0.500, 0.750).

=====

Energy above the most stable structure, in kJ/mol of atoms: i 0.0; ii 19.5